An optimized crystal structure of TbNd2Sm2Y, computed with PBE.

## Properties
* total DFT energy (no corrections): -4.957 eV/atom
* symmetry: Pmma

a b c (Å): 5.7181 7.1024 9.9093
angles (deg): 90.00 90.00 90.00
Closest atoms and distances in Å follow each position.
Positions (direct):
Nd 0.5000 0.0076 0.0000  6 Nd 3.55-3.79, 6 Sm 3.72-3.73, 2 Tb 3.81
Nd 0.5000 0.5076 0.0000  6 Nd 3.55-3.79, 6 Sm 3.72-3.73, 2 Tb 3.81
Nd 0.0000 0.7576 0.8244  5 Sm 3.24-3.55
Nd 0.0000 0.2576 0.1756  5 Sm 3.24-3.55
Y 0.0000 0.5076 0.5000  2 Y 3.55, 2 Nd 3.67, 4 Tb 3.72, 6 Sm 3.76-3.79
Y 0.0000 0.0076 0.5000  2 Y 3.55, 2 Nd 3.67, 4 Tb 3.72, 6 Sm 3.76-3.79
Tb 0.5000 0.7576 0.3405  5 Sm 3.26-3.55
Tb 0.5000 0.2576 0.6595  5 Sm 3.26-3.55
Sm 0.5000 0.2576 0.3304  2 Nd 3.24, 3 Tb 3.26-3.55
Sm 0.0000 0.2575 0.8375  7 Nd 3.35-3.73, 2 Tb 3.36
Sm 0.0000 0.7575 0.1625  7 Nd 3.35-3.73, 2 Tb 3.36
Sm 0.5000 0.7576 0.6696  2 Nd 3.24, 3 Tb 3.26-3.55

---

An optimized crystal structure of Tb2NdSmY2, computed with PBE.

## Properties
* total DFT energy (no corrections): -4.996 eV/atom
* symmetry: Pnnm

a b c (Å): 3.4059 6.6662 17.8658
angles (deg): 90.00 90.00 90.00
Closest atoms and distances in Å follow each position.
Positions (direct):
Tb 0.0000 0.7694 0.1810  4 Y 3.36-3.44, 2 Tb 3.41, 1 Nd 3.58
Tb 0.5000 0.7306 0.6810  4 Y 3.36-3.44, 2 Tb 3.41, 1 Nd 3.58
Tb 0.5000 0.2694 0.3190  4 Y 3.36-3.44, 2 Tb 3.41, 1 Nd 3.58
Tb 0.0000 0.2306 0.8190  4 Y 3.36-3.44, 2 Tb 3.41, 1 Nd 3.58
Y 0.0000 0.2724 0.1514  1 Nd 3.26, 4 Tb 3.36-3.44, 2 Y 3.41, 2 Sm 3.54
Y 0.0000 0.7276 0.8486  1 Nd 3.26, 4 Tb 3.36-3.44, 2 Y 3.41, 2 Sm 3.54
Y 0.5000 0.2276 0.6514  1 Nd 3.26, 4 Tb 3.36-3.44, 2 Y 3.41, 2 Sm 3.54
Y 0.5000 0.7724 0.3486  1 Nd 3.26, 4 Tb 3.36-3.44, 2 Y 3.41, 2 Sm 3.54
Sm 0.0000 0.0000 0.5000  2 Sm 3.41, 4 Y 3.54, 4 Nd 3.74
Sm 0.5000 0.5000 0.0000  2 Sm 3.41, 4 Y 3.54, 4 Nd 3.74
Nd 0.0000 0.0000 0.0000  2 Y 3.26, 2 Nd 3.41, 2 Tb 3.58
Nd 0.5000 0.5000 0.5000  2 Y 3.26, 2 Nd 3.41, 2 Tb 3.58

---

An optimized crystal structure of TbNd2SmY, computed with PBE.

## Properties
* total DFT energy (no corrections): -4.804 eV/atom
* symmetry: Pmma

a b c (Å): 6.8151 8.1719 6.2415
angles (deg): 89.98 90.00 90.00
Closest atoms and distances in Å follow each position.
Positions (direct):
Nd 0.6935 0.3035 0.7502  1 Y 3.12, 1 Nd 3.21
Nd 0.3065 0.6965 0.2498  1 Y 3.12, 1 Nd 3.21
Nd 0.3065 0.3035 0.2502  1 Y 3.12, 1 Nd 3.21
Nd 0.6935 0.6965 0.7498  1 Y 3.12, 1 Nd 3.21
Sm 0.0000 0.0000 0.5000  2 Sm 3.12, 2 Y 3.23
Sm 0.0000 0.0000 0.0000  2 Sm 3.12, 2 Y 3.23
Y 0.4158 0.0000 0.7500  2 Nd 3.12, 2 Sm 3.23, 2 Y 3.33
Y 0.5842 0.0000 0.2500  2 Nd 3.12, 2 Sm 3.23, 2 Y 3.33
Tb 0.1589 0.5000 0.7500  6 Nd 3.55-3.65, 2 Tb 3.80
Tb 0.8411 0.5000 0.2500  6 Nd 3.55-3.65, 2 Tb 3.80

---

An optimized crystal structure of Tb6Nd3SmY2, computed with PBE.

## Properties
* total DFT energy (no corrections): -4.962 eV/atom
* symmetry: C2/m

a b c (Å): 6.2364 6.2364 11.9197
angles (deg): 94.99 94.99 119.98
Closest atoms and distances in Å follow each position.
Positions (direct):
Y 0.6667 0.3333 0.0000  6 Tb 3.57-3.58, 3 Sm 3.60, 3 Y 3.60
Y 0.3333 0.6667 0.0000  6 Tb 3.57-3.58, 3 Sm 3.60, 3 Y 3.60
Sm 0.0000 0.0000 0.0000  6 Tb 3.57, 6 Y 3.60
Tb 0.2502 0.2502 0.7522  1 Sm 3.57, 2 Y 3.58, 6 Tb 3.60, 3 Nd 3.62
Tb 0.7498 0.7498 0.2478  1 Sm 3.57, 2 Y 3.58, 6 Tb 3.60, 3 Nd 3.62
Tb 0.5840 0.9171 0.7522  2 Y 3.57-3.58, 1 Sm 3.57, 6 Tb 3.60, 3 Nd 3.62
Tb 0.9171 0.5840 0.7522  2 Y 3.57-3.58, 1 Sm 3.57, 6 Tb 3.60, 3 Nd 3.62
Tb 0.4160 0.0829 0.2478  2 Y 3.57-3.58, 1 Sm 3.57, 6 Tb 3.60, 3 Nd 3.62
Tb 0.0829 0.4160 0.2478  2 Y 3.57-3.58, 1 Sm 3.57, 6 Tb 3.60, 3 Nd 3.62
Nd 0.1669 0.8331 0.5000  6 Nd 3.60-3.61, 6 Tb 3.62
Nd 0.5000 0.5000 0.5000  6 Nd 3.60, 6 Tb 3.62
Nd 0.8331 0.1669 0.5000  6 Nd 3.60-3.61, 6 Tb 3.62

---

An optimized crystal structure of Tb3NdSmY, computed with PBE.

## Properties
* total DFT energy (no corrections): -4.857 eV/atom
* symmetry: Cmcm

a b c (Å): 5.9619 6.3131 11.9411
angles (deg): 90.00 90.00 118.18
Closest atoms and distances in Å follow each position.
Positions (direct):
Tb 0.1713 0.3427 0.7500  2 Tb 3.46, 3 Y 3.46-3.80, 3 Sm 3.54-3.66, 2 Nd 3.54
Tb 0.8287 0.6573 0.2500  2 Tb 3.46, 3 Y 3.46-3.80, 3 Sm 3.54-3.66, 2 Nd 3.54
Tb 0.3293 0.6587 0.9998  4 Tb 3.46-3.80, 1 Y 3.47, 3 Nd 3.53-3.67, 2 Sm 3.54
Tb 0.6707 0.3413 0.4998  4 Tb 3.46-3.80, 1 Y 3.47, 3 Nd 3.53-3.67, 2 Sm 3.54
Tb 0.6707 0.3413 0.0002  4 Tb 3.46-3.80, 1 Y 3.47, 3 Nd 3.53-3.67, 2 Sm 3.54
Tb 0.3293 0.6587 0.5002  4 Tb 3.46-3.80, 1 Y 3.47, 3 Nd 3.53-3.67, 2 Sm 3.54
Sm 0.5000 0.0000 0.7500  3 Y 3.53-3.67, 7 Tb 3.54-3.66
Sm 0.5000 0.0000 0.2500  3 Y 3.53-3.67, 7 Tb 3.54-3.66
Y 0.8296 0.6592 0.7500  5 Tb 3.46-3.80, 3 Sm 3.53-3.67, 2 Nd 3.54
Y 0.1704 0.3408 0.2500  5 Tb 3.46-3.80, 3 Sm 3.53-3.67, 2 Nd 3.54
Nd 0.0000 0.0000 0.5000  8 Tb 3.53-3.67, 2 Y 3.54
Nd 0.0000 0.0000 0.0000  8 Tb 3.53-3.67, 2 Y 3.54

---

An optimized crystal structure of TbNd2Sm5Y, computed with PBE.

## Properties
* total DFT energy (no corrections): -4.643 eV/atom
* symmetry: I4/mcm

a b c (Å): 8.6942 8.6942 10.1857
angles (deg): 115.26 115.26 90.00
Closest atoms and distances in Å follow each position.
Positions (direct):
Sm 0.5000 0.5000 0.0000  4 Nd 3.47, 8 Sm 3.86
Sm 0.0000 0.0000 0.0000  4 Nd 3.47, 8 Sm 3.86
Sm 0.9268 0.4268 0.2826  1 Nd 3.07, 1 Y 3.17
Sm 0.6442 0.1442 0.7174  1 Nd 3.07, 1 Y 3.17
Sm 0.5732 0.6442 0.7174  1 Nd 3.07, 1 Y 3.17
Sm 0.4268 0.3558 0.2826  1 Nd 3.07, 1 Y 3.17
Sm 0.1442 0.0732 0.7174  1 Nd 3.07, 1 Y 3.17
Sm 0.0732 0.5732 0.7174  1 Nd 3.07, 1 Y 3.17
Sm 0.3558 0.8558 0.2826  1 Nd 3.07, 1 Y 3.17
Sm 0.8558 0.9268 0.2826  1 Nd 3.07, 1 Y 3.17
Y 0.7500 0.2500 0.5000  4 Sm 3.17
Y 0.2500 0.7500 0.5000  4 Sm 3.17
Nd 0.1195 0.3805 0.0000  1 Nd 2.94, 2 Sm 3.07
Nd 0.6195 0.1195 0.0000  1 Nd 2.94, 2 Sm 3.07
Nd 0.8805 0.6195 0.0000  1 Nd 2.94, 2 Sm 3.07
Nd 0.3805 0.8805 0.0000  1 Nd 2.94, 2 Sm 3.07
Tb 0.7500 0.7500 0.5000  8 Sm 3.57
Tb 0.2500 0.2500 0.5000  8 Sm 3.57

---

no.,calculated density (kg/m³),DOS(E_F) (states/eV/f.u.),formation energy (eV per atom)
1,6908,9.19,0.05
2,6470,10.42,0.28
3,6561,6.15,0.27
4,7200,15.82,0.02
5,7211,12.96,0.12
6,6969,13.55,0.27